Entry i
A plane-wave DFT calculation with PBEsol was carried out for a relaxed structure of TaTl2Ir.

Unit cell a=9.332 b=9.332 c=9.332 alpha=19.02 beta=19.02 gamma=19.02
Atoms (fractional coordinates):
Ta (0.000, 0.000, 0.000)
Tl (0.246, 0.246, 0.246)
Tl (0.754, 0.754, 0.754)
Ir (0.500, 0.500, 0.500)

Values from the calculation:
M_tot: 0.00 μB/cell

Entry ii
A plane-wave DFT calculation with PBEsol was carried out for a relaxed structure of TaTl2Ir.

Unit cell a=5.727 b=5.727 c=5.727 alpha=149.28 beta=126.58 gamma=62.89
Atoms (fractional coordinates):
Ta (0.000, 0.000, 0.000)
Tl (0.263, 0.763, 0.500)
Tl (0.737, 0.237, 0.500)
Ir (0.500, 0.500, 0.000)

Values from the calculation:
M_tot: 0.00 μB/cell

Entry iii
A plane-wave DFT calculation with PBEsol was carried out for a relaxed structure of TaTl2Ir.

Unit cell a=3.000 b=3.185 c=8.757 alpha=90.00 beta=99.86 gamma=90.00
Atoms (fractional coordinates):
Ta (0.000, 0.000, 0.000)
Tl (0.629, 0.500, 0.258)
Tl (0.795, 0.000, 0.583)
Ir (0.416, 0.500, 0.832)

Values from the calculation:
M_tot: 0.00 μB/cell

Entry iv
A plane-wave DFT calculation with PBEsol was carried out for a relaxed structure of TaTl2Ir.

Unit cell a=4.872 b=4.872 c=3.139 alpha=90.00 beta=90.00 gamma=90.00
Atoms (fractional coordinates):
Ta (0.000, 0.000, 0.000)
Tl (0.000, 0.500, 0.500)
Tl (0.500, 0.000, 0.500)
Ir (0.500, 0.500, 0.000)

Values from the calculation:
M_tot: 0.00 μB/cell

entry iv is the least stable structure shown above.